Record 1
A relaxed AgGe2Se3 crystal. Source: the Alexandria database, functional PBE.

Computed properties:
* formation energy from raw total energies: -0.68 eV per formula unit
* energy: -3.870 eV per atom
* mass density: 4.74 Mg/m³
* N(E_F): 4.54 states/eV/cell

a b c (Å): 19.7516 4.2701 8.5499
angles (deg): 90.00 107.88 90.00
Space group C2/m (No. 12)
Asymmetric unit:
Ag (0.1538, 0.0000, 0.4227) (multiplicity 4)
Ge (0.0705, 0.5000, 0.6740) (multiplicity 4)
Ge (0.2396, 0.0000, 0.8655) (multiplicity 4)
Se (0.0638, 0.5000, 0.3775) (multiplicity 4)
Se (0.1077, 0.0000, 0.8372) (multiplicity 4)
Se (0.2323, 0.5000, 0.6733) (multiplicity 4)

***

Record 2
A relaxed Sr2Cd6AgPb crystal. Source: the Alexandria database, functional PBE.

Computed properties:
* energy: -1.663 eV per atom
* formation energy: -0.12 eV per atom
* mass density: 6.47 Mg/m³
* N(E_F): 35.56 states/eV/cell

a b c (Å): 7.3088 7.3088 38.7914
angles (deg): 90.00 90.00 120.00
Space group R-3m (No. 166, hexagonal axes)
Asymmetric unit:
Sr (0.0000, 0.0000, 0.1043) (multiplicity 6)
Sr (0.0000, 0.0000, 0.2775) (multiplicity 6)
Cd (0.0617, 0.5308, 0.3080) (multiplicity 18)
Cd (0.0700, 0.5350, 0.8600) (multiplicity 18)
Ag (0.0000, 0.0000, 0.0000) (multiplicity 3)
Ag (0.0000, 0.0000, 0.5000) (multiplicity 3)
Pb (0.0000, 0.0000, 0.4243) (multiplicity 6)

***

Record 3
A relaxed HfZn2Re crystal. Source: the Alexandria database, functional PBE.

Computed properties:
* energy relative to the lowest polymorph listed for this composition: 269 meV per atom
* energy: -5.875 eV per atom
* formation energy: 0.36 eV per atom
* mass density: 11.52 Mg/m³
* N(E_F): 11.20 states/eV/cell

a b c (Å): 3.8371 3.8371 19.4128
angles (deg): 90.00 90.00 90.00
Space group I-42d (No. 122)
Asymmetric unit:
Hf (0.0000, 0.0000, 0.0000) (multiplicity 4)
Zn (0.2111, 0.2500, 0.6250) (multiplicity 8)
Re (0.0000, 0.0000, 0.5000) (multiplicity 4)